{"formula": "Ta2SiBi", "functional": "PBE-GGA", "state": "optimized geometry", "cell": [[-2.055, 2.055, 9.858], [2.055, -2.055, 9.858], [2.055, 2.055, -9.858]], "species": ["Ta", "Ta", "Ta", "Ta", "Si", "Si", "Bi", "Bi"], "frac_coords": [[0.103, 0.625, 0.978], [0.375, 0.353, 0.478], [0.647, 0.125, 0.022], [0.875, 0.897, 0.522], [0.000, 0.000, 0.000], [0.750, 0.250, 0.500], [0.250, 0.750, 0.500], [0.500, 0.500, 0.000]], "crystal_system": "tetragonal", "de_polymorph_mev_per_atom": 205}

---

{"formula": "TaSi2Bi", "functional": "PBE-GGA", "state": "optimized geometry", "cell": [[-3.070, 3.070, 6.051], [3.070, -3.070, 6.051], [3.070, 3.070, -6.051]], "species": ["Ta", "Ta", "Si", "Si", "Si", "Si", "Bi", "Bi"], "frac_coords": [[0.000, 0.000, 0.000], [0.750, 0.250, 0.500], [0.084, 0.625, 0.959], [0.375, 0.334, 0.459], [0.666, 0.125, 0.041], [0.875, 0.916, 0.541], [0.250, 0.750, 0.500], [0.500, 0.500, 0.000]], "crystal_system": "tetragonal", "energy_ev_per_atom": -5.908}